--- A ---
# Sc2BF (GGA-PBEsol, optimized geometry)
data_Sc2BF
_space_group_name_H-M_alt 'I -4 2 d'
_space_group_IT_number 122
_space_group_name_Hall 'I -4 2bw'
_cell_length_a 4.825
_cell_length_b 4.825
_cell_length_c 11.234
_cell_angle_alpha 90.00
_cell_angle_beta 90.00
_cell_angle_gamma 90.00
loop_
_atom_site_label
_atom_site_type_symbol
_atom_site_fract_x
_atom_site_fract_y
_atom_site_fract_z
_atom_site_occupancy
Sc1 Sc 0.246 0.250 0.125 1
B1 B 0.000 0.000 0.500 1
F1 F 0.000 0.000 0.000 1
# Spin magnetization: 0.00 μB/cell


--- B ---
# Sc2BF (GGA-PBEsol, optimized geometry)
data_Sc2BF
_space_group_name_H-M_alt 'F m -3 m'
_space_group_IT_number 225
_space_group_name_Hall '-F 4 2 3'
_cell_length_a 5.952
_cell_length_b 5.952
_cell_length_c 5.952
_cell_angle_alpha 90.00
_cell_angle_beta 90.00
_cell_angle_gamma 90.00
loop_
_atom_site_label
_atom_site_type_symbol
_atom_site_fract_x
_atom_site_fract_y
_atom_site_fract_z
_atom_site_occupancy
Sc1 Sc 0.250 0.250 0.250 1
B1 B 0.000 0.000 0.000 1
F1 F 0.000 0.000 0.500 1
# Spin magnetization: 0.00 μB/cell


A is the most stable structure; the next one sits 11.9 kJ/mol of atoms above it.


--- A ---
# FeBH3 (GGA-PBEsol, optimized geometry)
data_FeBH3
_space_group_name_H-M_alt 'P m -3 m'
_space_group_IT_number 221
_space_group_name_Hall '-P 4 2 3'
_cell_length_a 2.970
_cell_length_b 2.970
_cell_length_c 2.970
_cell_angle_alpha 90.00
_cell_angle_beta 90.00
_cell_angle_gamma 90.00
loop_
_atom_site_label
_atom_site_type_symbol
_atom_site_fract_x
_atom_site_fract_y
_atom_site_fract_z
_atom_site_occupancy
Fe1 Fe 0.000 0.000 0.000 1
B1 B 0.500 0.500 0.500 1
H1 H 0.000 0.500 0.500 1
# Spin magnetization: 2.60 μB/cell


--- B ---
# FeBH3 (GGA-PBEsol, optimized geometry)
data_FeBH3
_space_group_name_H-M_alt 'P m -3 m'
_space_group_IT_number 221
_space_group_name_Hall '-P 4 2 3'
_cell_length_a 3.029
_cell_length_b 3.029
_cell_length_c 3.029
_cell_angle_alpha 90.00
_cell_angle_beta 90.00
_cell_angle_gamma 90.00
loop_
_atom_site_label
_atom_site_type_symbol
_atom_site_fract_x
_atom_site_fract_y
_atom_site_fract_z
_atom_site_occupancy
Fe1 Fe 0.000 0.000 0.000 1
B1 B 0.500 0.500 0.500 1
H1 H 0.000 0.000 0.500 1
# Spin magnetization: 0.00 μB/cell


A is the most stable structure; the next one sits 11.9 kJ/mol of atoms above it.


--- A ---
# Fe3HgB (GGA-PBEsol, optimized geometry)
data_Fe3HgB
_space_group_name_H-M_alt 'P m -3 m'
_space_group_IT_number 221
_space_group_name_Hall '-P 4 2 3'
_cell_length_a 4.725
_cell_length_b 4.725
_cell_length_c 4.725
_cell_angle_alpha 90.00
_cell_angle_beta 90.00
_cell_angle_gamma 90.00
loop_
_atom_site_label
_atom_site_type_symbol
_atom_site_fract_x
_atom_site_fract_y
_atom_site_fract_z
_atom_site_occupancy
Fe1 Fe 0.000 0.000 0.500 1
Hg1 Hg 0.000 0.000 0.000 1
B1 B 0.500 0.500 0.500 1
# Spin magnetization: 9.28 μB/cell


--- B ---
# Fe3HgB (GGA-PBEsol, optimized geometry)
data_Fe3HgB
_space_group_name_H-M_alt 'P m -3 m'
_space_group_IT_number 221
_space_group_name_Hall '-P 4 2 3'
_cell_length_a 3.891
_cell_length_b 3.891
_cell_length_c 3.891
_cell_angle_alpha 90.00
_cell_angle_beta 90.00
_cell_angle_gamma 90.00
loop_
_atom_site_label
_atom_site_type_symbol
_atom_site_fract_x
_atom_site_fract_y
_atom_site_fract_z
_atom_site_occupancy
Fe1 Fe 0.000 0.000 0.500 1
Hg1 Hg 0.500 0.500 0.500 1
B1 B 0.000 0.000 0.000 1
# Spin magnetization: 5.38 μB/cell


B is the most stable structure; the next one sits 230.0 kJ/mol of atoms above it.


--- A ---
# FeBP2O (GGA-PBEsol, optimized geometry)
data_FeBP2O
_space_group_name_H-M_alt 'P 4/m m m'
_space_group_IT_number 123
_space_group_name_Hall '-P 4 2'
_cell_length_a 4.433
_cell_length_b 4.433
_cell_length_c 3.284
_cell_angle_alpha 90.00
_cell_angle_beta 90.00
_cell_angle_gamma 90.00
loop_
_atom_site_label
_atom_site_type_symbol
_atom_site_fract_x
_atom_site_fract_y
_atom_site_fract_z
_atom_site_occupancy
Fe1 Fe 0.000 0.000 0.000 1
B1 B 0.500 0.500 0.500 1
P1 P 0.000 0.500 0.000 1
O1 O 0.000 0.000 0.500 1
# Spin magnetization: 0.00 μB/cell


--- B ---
# FeBP2O (GGA-PBEsol, optimized geometry)
data_FeBP2O
_space_group_name_H-M_alt 'P 4/m m m'
_space_group_IT_number 123
_space_group_name_Hall '-P 4 2'
_cell_length_a 4.722
_cell_length_b 4.722
_cell_length_c 2.640
_cell_angle_alpha 90.00
_cell_angle_beta 90.00
_cell_angle_gamma 90.00
loop_
_atom_site_label
_atom_site_type_symbol
_atom_site_fract_x
_atom_site_fract_y
_atom_site_fract_z
_atom_site_occupancy
Fe1 Fe 0.000 0.000 0.000 1
B1 B 0.500 0.500 0.500 1
P1 P 0.000 0.500 0.500 1
O1 O 0.500 0.500 0.000 1
# Spin magnetization: 2.90 μB/cell


B is the most stable structure; the next one sits 50.7 kJ/mol of atoms above it.


--- A ---
# GaBIr2 (GGA-PBEsol, optimized geometry)
data_GaBIr2
_space_group_name_H-M_alt 'I -4 2 d'
_space_group_IT_number 122
_space_group_name_Hall 'I -4 2bw'
_cell_length_a 5.304
_cell_length_b 5.304
_cell_length_c 9.132
_cell_angle_alpha 90.00
_cell_angle_beta 90.00
_cell_angle_gamma 90.00
loop_
_atom_site_label
_atom_site_type_symbol
_atom_site_fract_x
_atom_site_fract_y
_atom_site_fract_z
_atom_site_occupancy
Ga1 Ga 0.000 0.000 0.000 1
B1 B 0.000 0.000 0.500 1
Ir1 Ir 0.182 0.250 0.625 1
# Spin magnetization: 0.00 μB/cell


--- B ---
# GaBIr2 (GGA-PBEsol, optimized geometry)
data_GaBIr2
_space_group_name_H-M_alt 'F m -3 m'
_space_group_IT_number 225
_space_group_name_Hall '-F 4 2 3'
_cell_length_a 5.779
_cell_length_b 5.779
_cell_length_c 5.779
_cell_angle_alpha 90.00
_cell_angle_beta 90.00
_cell_angle_gamma 90.00
loop_
_atom_site_label
_atom_site_type_symbol
_atom_site_fract_x
_atom_site_fract_y
_atom_site_fract_z
_atom_site_occupancy
Ga1 Ga 0.000 0.000 0.000 1
B1 B 0.000 0.000 0.500 1
Ir1 Ir 0.250 0.250 0.250 1
# Spin magnetization: 0.00 μB/cell


B is the most stable structure; the next one sits 25.0 kJ/mol of atoms above it.


--- A ---
# Ga4B2O9 (GGA-PBEsol, optimized geometry)
data_Ga4B2O9
_space_group_name_H-M_alt 'C 1 m 1'
_space_group_IT_number 8
_space_group_name_Hall 'C -2y'
_cell_length_a 15.183
_cell_length_b 5.753
_cell_length_c 10.863
_cell_angle_alpha 90.00
_cell_angle_beta 133.95
_cell_angle_gamma 90.00
loop_
_atom_site_label
_atom_site_type_symbol
_atom_site_fract_x
_atom_site_fract_y
_atom_site_fract_z
_atom_site_occupancy
Ga1 Ga 0.000 0.000 0.000 1
Ga2 Ga 0.014 0.000 0.557 1
Ga3 Ga 0.195 0.000 0.391 1
Ga4 Ga 0.268 0.252 0.724 1
Ga5 Ga 0.272 0.251 0.233 1
Ga6 Ga 0.366 0.500 0.100 1
B1 B 0.022 0.500 0.520 1
B2 B 0.023 0.500 0.958 1
B3 B 0.286 0.000 0.996 1
B4 B 0.309 0.500 0.513 1
O1 O 0.026 0.000 0.199 1
O2 O 0.088 0.292 0.593 1
O3 O 0.148 0.500 0.078 1
O4 O 0.165 0.000 0.133 1
O5 O 0.227 0.000 0.585 1
O6 O 0.255 0.288 0.394 1
O7 O 0.264 0.000 0.850 1
O8 O 0.266 0.500 0.601 1
O9 O 0.296 0.207 0.070 1
O10 O 0.321 0.500 0.883 1
O11 O 0.387 0.500 0.311 1
O12 O 0.400 0.000 0.382 1
O13 O 0.440 0.500 0.631 1
O14 O 0.456 0.205 0.895 1
# Spin magnetization: 0.11 μB/cell


--- B ---
# Ga4B2O9 (GGA-PBEsol, optimized geometry)
data_Ga4B2O9
_space_group_name_H-M_alt 'C 1 2/m 1'
_space_group_IT_number 12
_space_group_name_Hall '-C 2y'
_cell_length_a 15.764
_cell_length_b 5.654
_cell_length_c 11.169
_cell_angle_alpha 90.00
_cell_angle_beta 133.97
_cell_angle_gamma 90.00
loop_
_atom_site_label
_atom_site_type_symbol
_atom_site_fract_x
_atom_site_fract_y
_atom_site_fract_z
_atom_site_occupancy
Ga1 Ga 0.004 0.000 0.265 1
Ga2 Ga 0.132 0.000 0.136 1
Ga3 Ga 0.250 0.250 0.000 1
Ga4 Ga 0.250 0.250 0.500 1
B1 B 0.003 0.500 0.703 1
B2 B 0.210 0.500 0.211 1
O1 O 0.004 0.000 0.902 1
O2 O 0.063 0.291 0.371 1
O3 O 0.124 0.500 0.837 1
O4 O 0.156 0.000 0.870 1
O5 O 0.201 0.285 0.140 1
O6 O 0.210 0.000 0.366 1
O7 O 0.227 0.500 0.351 1
# Spin magnetization: 0.01 μB/cell


A is the most stable structure; the next one sits 4.3 kJ/mol of atoms above it.


--- A ---
# GaB2Sb2 (GGA-PBEsol, optimized geometry)
data_GaB2Sb2
_space_group_name_H-M_alt 'P 4/m b m'
_space_group_IT_number 127
_space_group_name_Hall '-P 4 2ab'
_cell_length_a 7.367
_cell_length_b 7.367
_cell_length_c 3.316
_cell_angle_alpha 90.00
_cell_angle_beta 90.00
_cell_angle_gamma 90.00
loop_
_atom_site_label
_atom_site_type_symbol
_atom_site_fract_x
_atom_site_fract_y
_atom_site_fract_z
_atom_site_occupancy
Ga1 Ga 0.000 0.000 0.000 1
B1 B 0.079 0.421 0.500 1
Sb1 Sb 0.172 0.672 0.000 1
# Spin magnetization: 0.00 μB/cell


--- B ---
# GaB2Sb2 (GGA-PBEsol, optimized geometry)
data_GaB2Sb2
_space_group_name_H-M_alt 'P 4/m b m'
_space_group_IT_number 127
_space_group_name_Hall '-P 4 2ab'
_cell_length_a 6.985
_cell_length_b 6.985
_cell_length_c 3.679
_cell_angle_alpha 90.00
_cell_angle_beta 90.00
_cell_angle_gamma 90.00
loop_
_atom_site_label
_atom_site_type_symbol
_atom_site_fract_x
_atom_site_fract_y
_atom_site_fract_z
_atom_site_occupancy
Ga1 Ga 0.000 0.000 0.000 1
B1 B 0.082 0.418 0.000 1
Sb1 Sb 0.219 0.281 0.500 1
# Spin magnetization: 0.00 μB/cell


B is the most stable structure; the next one sits 29.9 kJ/mol of atoms above it.


--- A ---
# B3H5 (GGA-PBEsol, optimized geometry)
data_B3H5
_space_group_name_H-M_alt 'C m c 21'
_space_group_IT_number 36
_space_group_name_Hall 'C 2c -2'
_cell_length_a 7.423
_cell_length_b 8.842
_cell_length_c 8.279
_cell_angle_alpha 90.00
_cell_angle_beta 90.00
_cell_angle_gamma 90.00
loop_
_atom_site_label
_atom_site_type_symbol
_atom_site_fract_x
_atom_site_fract_y
_atom_site_fract_z
_atom_site_occupancy
B1 B 0.000 0.194 0.000 1
B2 B 0.000 0.253 0.799 1
B3 B 0.111 0.432 0.795 1
B4 B 0.189 0.291 0.919 1
H1 H 0.000 0.068 0.053 1
H2 H 0.000 0.164 0.690 1
H3 H 0.128 0.270 0.074 1
H4 H 0.161 0.260 0.423 1
H5 H 0.180 0.441 0.943 1
H6 H 0.219 0.480 0.700 1
# Spin magnetization: 0.00 μB/cell


--- B ---
# B3H5 (GGA-PBEsol, optimized geometry)
data_B3H5
_space_group_name_H-M_alt 'P 1 21/c 1'
_space_group_IT_number 14
_space_group_name_Hall '-P 2ybc'
_cell_length_a 10.726
_cell_length_b 6.759
_cell_length_c 12.740
_cell_angle_alpha 90.00
_cell_angle_beta 123.65
_cell_angle_gamma 90.00
loop_
_atom_site_label
_atom_site_type_symbol
_atom_site_fract_x
_atom_site_fract_y
_atom_site_fract_z
_atom_site_occupancy
B1 B 0.020 0.241 0.133 1
B2 B 0.122 0.549 0.445 1
B3 B 0.122 0.701 0.333 1
B4 B 0.289 0.620 0.466 1
B5 B 0.295 0.617 0.605 1
B6 B 0.296 0.637 0.924 1
B7 B 0.326 0.016 0.549 1
B8 B 0.326 0.634 0.161 1
B9 B 0.411 0.714 0.086 1
H1 H 0.017 0.112 0.576 1
H2 H 0.042 0.645 0.815 1
H3 H 0.044 0.637 0.479 1
H4 H 0.086 0.122 0.924 1
H5 H 0.087 0.637 0.232 1
H6 H 0.143 0.182 0.213 1
H7 H 0.218 0.014 0.426 1
H8 H 0.218 0.736 0.632 1
H9 H 0.229 0.009 0.585 1
H10 H 0.346 0.010 0.183 1
H11 H 0.347 0.011 0.943 1
H12 H 0.348 0.581 0.867 1
H13 H 0.379 0.582 0.267 1
H14 H 0.380 0.178 0.574 1
H15 H 0.456 0.233 0.359 1
# Spin magnetization: 0.00 μB/cell


B is the most stable structure; the next one sits 3.2 kJ/mol of atoms above it.